# CsCoPbO4, optimized geometry, DFT PBE+U
data_CsCoPbO4
_chemical_formula_sum 'Cs2 Co2 Pb2 O8'
_space_group_name_H-M_alt 'P 1 21/m 1'
_space_group_IT_number 11
_space_group_name_Hall '-P 2yb'
_cell_length_a 5.8035
_cell_length_b 6.0378
_cell_length_c 8.1614
_cell_angle_alpha 90.00
_cell_angle_beta 110.54
_cell_angle_gamma 90.00
loop_
_atom_site_label
_atom_site_type_symbol
_atom_site_fract_x
_atom_site_fract_y
_atom_site_fract_z
Cs1 Cs 0.1934 0.2500 0.4327
Co1 Co 0.2501 0.7500 0.1526
Pb1 Pb 0.3018 0.2500 0.9593
O1 O 0.0078 0.7500 0.9417
O2 O 0.0473 0.7500 0.2818
O3 O 0.4717 0.5195 0.1651
# Total magnetic moment: 4.0 μB/f.u.
# Raw total energy: -5.211 eV/atom
# DOS(E_F): 0.2 states/eV/f.u.